Below is a PBEsol-optimized structure of InRe2WF, with properties calculated at the meta-GGA SCAN level.

Geometry as extended XYZ:
```
5
Lattice="4.9510 0.0000 0.0000 0.0000 4.9510 0.0000 0.0000 0.0000 5.0501" Properties=species:S:1:pos:R:3 pbc="T T T"
In 0.0000 0.0000 0.0000
Re 0.0000 2.4755 0.0000
Re 2.4755 0.0000 0.0000
W 0.0000 0.0000 2.5250
F 2.4755 2.4755 2.5250
```

Results
Magnetization ... 2.68 μB/f.u.
Formation energy from raw total energies ... 3196 meV per atom
E ... -46.565 eV/atom